Entry from the Alexandria database: a geometry-optimized Ca2PmPaSb4 structure (PBE-GGA).

## Properties
Uncorrected formation energy, eV/atom: -0.9077

```
data_Ca2PmPaSb4
_chemical_formula_sum 'Ca2 Pm1 Pa1 Sb4'
_cell_length_a 4.506
_cell_length_b 7.758
_cell_length_c 7.749
_cell_angle_alpha 109.39
_cell_angle_beta 90.00
_cell_angle_gamma 90.00
_symmetry_space_group_name_H-M 'P 1'
_symmetry_Int_Tables_number 1
_symmetry_space_group_name_Hall 'P 1'
loop_
_atom_site_label
_atom_site_fract_x
_atom_site_fract_y
_atom_site_fract_z
_atom_site_occupancy
Ca1 0.500 0.000 0.500 1
Ca2 0.000 0.500 0.500 1
Pm1 0.500 0.500 0.000 1
Pa1 0.000 0.000 0.000 1
Sb1 0.500 0.236 0.235 1
Sb2 0.500 0.764 0.765 1
Sb3 0.000 0.243 0.761 1
Sb4 0.000 0.757 0.239 1
```

Entry from the Alexandria database: a geometry-optimized CaHf3Br structure (PBE-GGA).

## Properties
Uncorrected formation energy, eV/atom: 1.8504

```
data_CaHf3Br
_chemical_formula_sum 'Ca1 Hf3 Br1'
_cell_length_a 5.246
_cell_length_b 5.246
_cell_length_c 5.246
_cell_angle_alpha 90.00
_cell_angle_beta 90.00
_cell_angle_gamma 90.00
_symmetry_space_group_name_H-M 'P 1'
_symmetry_Int_Tables_number 1
_symmetry_space_group_name_Hall 'P 1'
loop_
_atom_site_label
_atom_site_fract_x
_atom_site_fract_y
_atom_site_fract_z
_atom_site_occupancy
Ca1 0.000 0.000 0.000 1
Hf1 0.000 0.500 0.000 1
Hf2 0.000 0.000 0.500 1
Hf3 0.500 0.000 0.000 1
Br1 0.500 0.500 0.500 1
```

In order of appearance, electronic total energy = -5.2501, -4.8565 eV/atom.
In order of appearance, total moment = 0.10, 0.93 μB per formula unit.
In order of appearance, theoretical density = 6.1, 7.5 g/cm³.